This record from Alexandria describes a relaxed structure of AcHf2NiP4. The functional is PBE.

Unit cell a=6.7174 b=6.7174 c=12.8862 alpha=90.00 beta=90.00 gamma=146.89
Sites, in units of the cell vectors:
1 Ac 0.1093 0.8907 0.7500
2 Ac 0.8907 0.1093 0.2500
3 Hf 0.3674 0.6326 0.5581
4 Hf 0.3674 0.6326 0.9419
5 Hf 0.6326 0.3674 0.0581
6 Hf 0.6326 0.3674 0.4419
7 Ni 0.1562 0.8438 0.2500
8 Ni 0.8438 0.1562 0.7500
9 P 0.0000 0.0000 0.0000
10 P 0.0000 0.0000 0.5000
11 P 0.2638 0.7362 0.1141
12 P 0.2638 0.7362 0.3859
13 P 0.4312 0.5688 0.7500
14 P 0.5688 0.4312 0.2500
15 P 0.7362 0.2638 0.6141
16 P 0.7362 0.2638 0.8859

Properties
- uncorrected energy (eV per atom) = -7.548
- DOS(E_F) (states/eV/cell) = 6.30
- density (g/cm3) = 8.02
- calculated formation energy (eV per atom) = -1.1187
- SG = Cmcm